1.
DFT (PBE) results for crystalline Be2RuPb at its relaxed geometry.

Summary:
Energy (eV/atom): -4.87
Magnetization (μB per cell): 0.00

a = 3.047 Å, b = 3.362 Å, c = 6.124 Å
α = 90.00°, β = 92.03°, γ = 90.00°
Fractional coordinates of all 4 atoms:
Be: 0.000 0.000 0.000
Be: 0.025 0.500 0.219
Ru: 0.533 0.000 0.285
Pb: 0.845 0.500 0.654

=====

2.
DFT (PBE) results for crystalline LiAc2PrHg4 at its relaxed geometry.

Summary:
Energy (eV/atom): -2.45
Magnetization (μB per cell): 0.00

a = 9.700 Å, b = 9.700 Å, c = 9.700 Å
α = 32.76°, β = 32.76°, γ = 32.76°
Fractional coordinates of all 8 atoms:
Li: 0.000 0.000 0.000
Ac: 0.255 0.255 0.255
Ac: 0.745 0.745 0.745
Pr: 0.500 0.500 0.500
Hg: 0.127 0.127 0.127
Hg: 0.374 0.374 0.374
Hg: 0.626 0.626 0.626
Hg: 0.873 0.873 0.873

=====

Number 1: energy of formation from the pure elements 0.236 eV/atom. Number 2: energy of formation from the pure elements -0.432 eV/atom.